# PBE MgSiSe2Br, relaxed
# Magnetization (μB/atom): 0.000
# Uncorrected energy (eV per cell): -14.8
# Energy above the most stable polymorph in this dataset (meV/atom): 273.3
# Mass density (g/cm³): 3.71
# DOS(E_F) (states/eV per cell): 4.6
data_MgSiSe2Br
_space_group_name_H-M_alt 'P 4/m m m'
_space_group_IT_number 123
_space_group_name_Hall '-P 4 2'
_cell_length_a 5.0796
_cell_length_b 5.0796
_cell_length_c 5.0332
_cell_angle_alpha 90.00
_cell_angle_beta 90.00
_cell_angle_gamma 90.00
loop_
_atom_site_label
_atom_site_fract_x
_atom_site_fract_y
_atom_site_fract_z
Mg1 0.0000 0.0000 0.0000
Si1 0.5000 0.5000 0.5000
Se1 0.0000 0.5000 0.0000
Br1 0.0000 0.0000 0.5000


# PBE MgTi2Ru, relaxed
# Magnetization (μB/atom): 0.000
# Uncorrected energy (eV per cell): -104.5
# Mass density (g/cm³): 5.11
# Energy of formation from the pure elements (kJ per mole of atoms): 13
# DOS(E_F) (states/eV per cell): 10.0
data_MgTi2Ru
_space_group_name_H-M_alt 'I -4 2 d'
_space_group_IT_number 122
_space_group_name_Hall 'I -4 2bw'
_cell_length_a 7.2692
_cell_length_b 7.2692
_cell_length_c 5.4428
_cell_angle_alpha 90.00
_cell_angle_beta 90.00
_cell_angle_gamma 90.00
loop_
_atom_site_label
_atom_site_fract_x
_atom_site_fract_y
_atom_site_fract_z
Mg1 0.0000 0.0000 0.0000
Ti1 0.2027 0.7500 0.6250
Ru1 0.0000 0.0000 0.5000


# PBE LiSc2PSe, relaxed
# Magnetization (μB/atom): 0.259
# Uncorrected energy (eV per cell): -24.9
# Mass density (g/cm³): 3.59
# DOS(E_F) (states/eV per cell): 3.0
data_LiSc2PSe
_space_group_name_H-M_alt 'P 4/m m m'
_space_group_IT_number 123
_space_group_name_Hall '-P 4 2'
_cell_length_a 4.9784
_cell_length_b 4.9784
_cell_length_c 3.8595
_cell_angle_alpha 90.00
_cell_angle_beta 90.00
_cell_angle_gamma 90.00
loop_
_atom_site_label
_atom_site_fract_x
_atom_site_fract_y
_atom_site_fract_z
Li1 0.0000 0.0000 0.0000
Sc1 0.0000 0.5000 0.0000
P1 0.0000 0.0000 0.5000
Se1 0.5000 0.5000 0.5000


# PBE CrCoAg2, relaxed
# Magnetization (μB/atom): 1.291
# Uncorrected energy (eV per cell): -40.4
# Energy above the most stable polymorph in this dataset (meV/atom): 232.7
# Mass density (g/cm³): 8.75
# Energy of formation from the pure elements (kJ per mole of atoms): 53
# DOS(E_F) (states/eV per cell): 11.1
data_CrCoAg2
_space_group_name_H-M_alt 'I 4/m m m'
_space_group_IT_number 139
_space_group_name_Hall '-I 4 2'
_cell_length_a 3.9184
_cell_length_b 3.9184
_cell_length_c 8.0726
_cell_angle_alpha 90.00
_cell_angle_beta 90.00
_cell_angle_gamma 90.00
loop_
_atom_site_label
_atom_site_fract_x
_atom_site_fract_y
_atom_site_fract_z
Cr1 0.0000 0.0000 0.0000
Co1 0.0000 0.0000 0.5000
Ag1 0.0000 0.5000 0.2500


# PBE Mn2SnPb, relaxed
# Magnetization (μB/atom): 1.792
# Uncorrected energy (eV per cell): -95.6
# Energy above the most stable polymorph in this dataset (meV/atom): 107.5
# Mass density (g/cm³): 8.10
# Energy of formation from the pure elements (kJ per mole of atoms): 52
# DOS(E_F) (states/eV per cell): 14.8
data_Mn2SnPb
_space_group_name_H-M_alt 'I -4 2 d'
_space_group_IT_number 122
_space_group_name_Hall 'I -4 2bw'
_cell_length_a 7.5636
_cell_length_b 7.5636
_cell_length_c 6.2437
_cell_angle_alpha 90.00
_cell_angle_beta 90.00
_cell_angle_gamma 90.00
loop_
_atom_site_label
_atom_site_fract_x
_atom_site_fract_y
_atom_site_fract_z
Mn1 0.2405 0.2500 0.1250
Sn1 0.0000 0.0000 0.0000
Pb1 0.0000 0.0000 0.5000


# PBE Ba2AcGeSe5, relaxed
# Magnetization (μB/atom): 0.000
# Uncorrected energy (eV per cell): -176.2
# Mass density (g/cm³): 5.42
# DOS(E_F) (states/eV per cell): 5.5
data_Ba2AcGeSe5
_space_group_name_H-M_alt 'C m c 21'
_space_group_IT_number 36
_cell_length_a 4.6012
_cell_length_b 19.2639
_cell_length_c 13.4015
_cell_angle_alpha 90.00
_cell_angle_beta 90.00
_cell_angle_gamma 90.00
loop_
_space_group_symop_operation_xyz
'x,y,z'
'-x,-y,z+1/2'
'-x,y,z'
'x,-y,z+1/2'
'x+1/2,y+1/2,z'
'-x+1/2,-y+1/2,z+1/2'
'-x+1/2,y+1/2,z'
'x+1/2,-y+1/2,z+1/2'
loop_
_atom_site_label
_atom_site_fract_x
_atom_site_fract_y
_atom_site_fract_z
Ba1 0.0000 0.1170 0.0000
Ba2 0.0000 0.1201 0.6524
Ac1 0.0000 0.1992 0.3446
Ge1 0.0000 0.4498 0.7407
Se1 0.0000 0.0317 0.3191
Se2 0.0000 0.2989 0.9967
Se3 0.0000 0.3243 0.6823
Se4 0.0000 0.3541 0.3263
Se5 0.0000 0.4967 0.0775